Record 1
{"formula": "KAg2Hg2F7", "functional": "PBE", "state": "relaxed", "crystal_system": "orthorhombic", "volume_a3_per_fu": 218.3, "energy_ev_per_atom": -3.182, "lattice": [[-2.164, 9.842, 2.563], [2.164, -9.842, 2.563], [2.164, 9.842, -2.563]], "species": ["K", "Ag", "Ag", "Hg", "Hg", "F", "F", "F", "F", "F", "F", "F"], "frac_coords": [[0.000, 0.000, 0.000], [0.220, 0.508, 0.712], [0.796, 0.508, 0.288], [0.328, 0.942, 0.386], [0.556, 0.942, 0.614], [0.200, 0.320, 0.880], [0.286, 0.020, 0.266], [0.355, 0.855, 0.500], [0.440, 0.320, 0.120], [0.753, 0.020, 0.734], [0.789, 0.384, 0.405], [0.979, 0.384, 0.595]]}

---

Record 2
{"formula": "IrRu2Rh6", "functional": "PBE", "state": "relaxed", "polymorph_energy_mev_per_atom": 0, "crystal_system": "monoclinic", "volume_a3_per_fu": 127.3, "energy_ev_per_atom": -7.948, "formation_enthalpy_0k_ev_per_atom": 0.00, "lattice": [[5.771, -1.916, 0.000], [5.771, 1.916, 0.000], [-1.931, 0.000, 5.757]], "species": ["Ir", "Ru", "Ru", "Rh", "Rh", "Rh", "Rh", "Rh", "Rh"], "frac_coords": [[0.000, 0.000, 0.000], [0.445, 0.445, 0.664], [0.555, 0.555, 0.336], [0.108, 0.108, 0.666], [0.220, 0.220, 0.335], [0.335, 0.335, 0.999], [0.665, 0.665, 0.001], [0.780, 0.780, 0.665], [0.892, 0.892, 0.334]]}

---

Record 3
{"formula": "Ac3Cu2Ni2", "functional": "PBE", "state": "relaxed", "crystal_system": "monoclinic", "volume_a3_per_fu": 173.1, "energy_ev_per_atom": -4.781, "formation_enthalpy_0k_ev_per_atom": -0.20, "lattice": [[5.640, -2.109, 0.000], [5.640, 2.109, 0.000], [-3.124, 0.000, 7.276]], "species": ["Ac", "Ac", "Ac", "Cu", "Cu", "Ni", "Ni"], "frac_coords": [[0.000, 0.000, 0.000], [0.174, 0.174, 0.633], [0.826, 0.826, 0.367], [0.310, 0.310, 0.070], [0.690, 0.690, 0.930], [0.476, 0.476, 0.657], [0.524, 0.524, 0.343]]}

---

Record 4
{"formula": "RbAc2P", "functional": "PBE", "state": "relaxed", "polymorph_energy_mev_per_atom": 613, "crystal_system": "tetragonal", "volume_a3_per_fu": 135.1, "energy_ev_per_atom": -3.577, "formation_enthalpy_0k_ev_per_atom": 0.07, "lattice": [[5.374, 0.000, 0.000], [0.000, 5.374, 0.000], [0.000, 0.000, 4.679]], "species": ["Rb", "Ac", "Ac", "P"], "frac_coords": [[0.000, 0.000, 0.000], [0.000, 0.500, 0.500], [0.500, 0.000, 0.500], [0.500, 0.500, 0.000]]}

---

Copy entry 2 word for word.
{"formula": "IrRu2Rh6", "functional": "PBE", "state": "relaxed", "polymorph_energy_mev_per_atom": 0, "crystal_system": "monoclinic", "volume_a3_per_fu": 127.3, "energy_ev_per_atom": -7.948, "formation_enthalpy_0k_ev_per_atom": 0.00, "lattice": [[5.771, -1.916, 0.000], [5.771, 1.916, 0.000], [-1.931, 0.000, 5.757]], "species": ["Ir", "Ru", "Ru", "Rh", "Rh", "Rh", "Rh", "Rh", "Rh"], "frac_coords": [[0.000, 0.000, 0.000], [0.445, 0.445, 0.664], [0.555, 0.555, 0.336], [0.108, 0.108, 0.666], [0.220, 0.220, 0.335], [0.335, 0.335, 0.999], [0.665, 0.665, 0.001], [0.780, 0.780, 0.665], [0.892, 0.892, 0.334]]}